Here is a relaxed CrW2Cl crystal from the Alexandria database. Energies are from PBE.

a = 3.1675 Å, b = 3.0612 Å, c = 7.2239 Å
α = 90.00°, β = 90.05°, γ = 90.00°
With the nearest neighbours (Å) after each atom.
Fractional coordinates of all 4 atoms:
Cr: 0.0000 0.0000 0.0000  4 W 2.64, 2 Cl 2.66
W: 0.4995 0.5000 0.7993  4 Cr 2.64, 4 W 2.68
W: 0.9990 0.0000 0.5888  2 Cl 2.58, 4 W 2.68
Cl: 0.9966 0.5000 0.3013  2 W 2.58, 2 Cr 2.66

Output
formation energy without anion corrections: 0.37 eV/atom
SG: Pm, No. 6
distance to the lowest polymorph of the same formula: 0 meV/atom
E: -8.973 eV per atom